Here is AsRuPt2 after structural relaxation from Alexandria via LeMat-Bulk. Energies are from PBE.

It has space group R-3m (No. 166, hexagonal axes), with a = 2.8472 Å, b = 2.8472 Å, c = 26.7720 Å, α = 90.00°, β = 90.00° and γ = 120.00°. The inequivalent atoms are As at (0.0000, 0.0000, 0.0000), Ru at (0.0000, 0.0000, 0.5000) and Pt at (0.0000, 0.0000, 0.2492).

As for the mass density: 15006 kg/m³. For the formation energy, the calculation gives 0.1411 eV/atom.